An optimized crystal structure of Sr2MgSb4Ir3, computed with PBE.

## Properties
ΔE_f (raw) ... -0.523 eV/atom

a = 4.6103 Å, b = 4.6103 Å, c = 11.1040 Å
α = 90.00°, β = 90.00°, γ = 90.00°
Element x y z (fractional)
Ir 0.0000 0.5000 0.1171
Ir 0.5000 0.0000 0.8829
Ir 0.0000 0.0000 0.5000
Sb 0.0000 0.5000 0.3566
Sb 0.0000 0.0000 0.0000
Sb 0.5000 0.0000 0.6434
Sb 0.5000 0.5000 0.0000
Sr 0.0000 0.5000 0.7534
Sr 0.5000 0.0000 0.2466
Mg 0.5000 0.5000 0.5000